An optimized crystal structure of OsAu2CI. Source: Alexandria, functional PBE.

Cell: 4.0830 6.5617 4.0830 Å, 90.00 90.00 90.00°
With the nearest neighbours (Å) after each atom.
Fractional coordinates of all 5 atoms:
I1 0.0000 0.5000 0.0000  4 Os 2.89
Os1 0.5000 0.5000 0.5000  4 I 2.89
C1 0.0000 0.0000 0.0000  4 Au 2.04
Au1 0.0000 0.0000 0.5000  2 C 2.04
Au2 0.5000 0.0000 0.0000  2 C 2.04

Its total magnetization is 2.3 μB per formula unit. As for the energy relative to the elements, uncorrected: 1.70 eV per atom. The value obtained for the density of states at the Fermi level is 8.85 states/eV per cell. The value obtained for the total DFT energy (no corrections) is -4.009 eV per atom.

An optimized crystal structure of PAu2CI. Source: Alexandria, functional PBE.

Cell: 4.6106 6.1826 4.6106 Å, 90.00 90.00 90.00°
With the nearest neighbours (Å) after each atom.
Fractional coordinates of all 5 atoms:
I1 0.0000 0.5000 0.0000  2 P 3.09, 4 C 3.26
P1 0.0000 0.0000 0.0000  4 Au 2.31
C1 0.5000 0.5000 0.5000  4 I 3.26
Au1 0.0000 0.0000 0.5000  2 P 2.31
Au2 0.5000 0.0000 0.0000  2 P 2.31

Its total magnetization is 1.7 μB per formula unit. As for the energy relative to the elements, uncorrected: 1.54 eV per atom. The value obtained for the density of states at the Fermi level is 1.81 states/eV per cell. The value obtained for the total DFT energy (no corrections) is -3.009 eV per atom.

An optimized crystal structure of Pr4AuCI2. Source: Alexandria, functional PBE.

Cell: 4.0600 8.1408 7.6050 Å, 73.33 90.00 90.00°
With the nearest neighbours (Å) after each atom.
Fractional coordinates of all 8 atoms:
Pr1 0.0000 0.6876 0.7263  1 C 2.61
Pr2 0.0000 0.3124 0.2737  1 C 2.61
Pr3 0.5000 0.6805 0.3061  2 C 2.69
Pr4 0.5000 0.3195 0.6939  2 C 2.69
Au1 0.5000 0.5000 0.0000  6 Pr 2.99-3.09
C1 0.0000 0.5000 0.5000  6 Pr 2.61-2.69
I1 0.0000 0.0000 0.0000  6 Pr 3.58-3.72
I2 0.5000 0.0000 0.5000  6 Pr 3.32-3.34

Its total magnetization is 0.0 μB per formula unit. As for the energy relative to the elements, uncorrected: -0.70 eV per atom. The value obtained for the density of states at the Fermi level is 7.72 states/eV per cell. The value obtained for the total DFT energy (no corrections) is -5.035 eV per atom.

An optimized crystal structure of AuCS2I. Source: Alexandria, functional PBE.

Cell: 5.2148 3.8660 5.2148 Å, 90.00 90.00 90.00°
With the nearest neighbours (Å) after each atom.
Fractional coordinates of all 5 atoms:
I1 0.5000 0.5000 0.5000  8 S 3.25
S1 0.0000 0.0000 0.5000  2 Au 2.61
S2 0.5000 0.0000 0.0000  2 Au 2.61
Au1 0.0000 0.0000 0.0000  2 C 1.93
C1 0.0000 0.5000 0.0000  2 Au 1.93

Its total magnetization is 0.0 μB per formula unit. As for the energy relative to the elements, uncorrected: 1.42 eV per atom. The value obtained for the density of states at the Fermi level is 4.19 states/eV per cell. The value obtained for the total DFT energy (no corrections) is -3.043 eV per atom.

An optimized crystal structure of Sb2AuCI. Source: Alexandria, functional PBE.

Cell: 4.7969 4.7969 4.9574 Å, 90.00 90.00 90.00°
With the nearest neighbours (Å) after each atom.
Fractional coordinates of all 5 atoms:
I1 0.0000 0.0000 0.5000  2 C 2.48
Sb1 0.0000 0.5000 0.0000  2 C 2.40
Sb2 0.5000 0.0000 0.0000  2 C 2.40
C1 0.0000 0.0000 0.0000  4 Sb 2.40, 2 I 2.48
Au1 0.5000 0.5000 0.5000  4 I 3.39, 8 Sb 3.45

Its total magnetization is 0.0 μB per formula unit. As for the energy relative to the elements, uncorrected: 1.12 eV per atom. The value obtained for the density of states at the Fermi level is 2.08 states/eV per cell. The value obtained for the total DFT energy (no corrections) is -3.339 eV per atom. The value obtained for the energy relative to the lowest polymorph listed for this composition is 0.0 meV per atom.

An optimized crystal structure of Sb2AuCI. Source: Alexandria, functional PBE.

Cell: 5.4234 5.4234 5.6373 Å, 90.00 90.00 90.00°
With the nearest neighbours (Å) after each atom.
Fractional coordinates of all 5 atoms:
I1 0.0000 0.0000 0.5000  2 Au 2.82
Sb1 0.0000 0.5000 0.0000  2 Au 2.71
Sb2 0.5000 0.0000 0.0000  2 Au 2.71
C1 0.5000 0.5000 0.5000  4 I 3.83, 8 Sb 3.91
Au1 0.0000 0.0000 0.0000  4 Sb 2.71, 2 I 2.82

Its total magnetization is 1.5 μB per formula unit. As for the energy relative to the elements, uncorrected: 1.87 eV per atom. The value obtained for the density of states at the Fermi level is 6.86 states/eV per cell. The value obtained for the total DFT energy (no corrections) is -2.589 eV per atom. The value obtained for the energy relative to the lowest polymorph listed for this composition is 749.6 meV per atom.

An optimized crystal structure of ScAuCI2. Source: Alexandria, functional PBE.

Cell: 5.6686 5.3799 5.6686 Å, 90.00 90.00 90.00°
With the nearest neighbours (Å) after each atom.
Fractional coordinates of all 5 atoms:
I1 0.0000 0.0000 0.5000  2 Sc 2.83
I2 0.5000 0.0000 0.0000  2 Sc 2.83
Sc1 0.0000 0.0000 0.0000  2 Au 2.69, 4 I 2.83
C1 0.5000 0.5000 0.5000  8 I 3.91, 4 Au 4.01
Au1 0.0000 0.5000 0.0000  2 Sc 2.69

Its total magnetization is 2.0 μB per formula unit. As for the energy relative to the elements, uncorrected: 1.09 eV per atom. The value obtained for the density of states at the Fermi level is 7.92 states/eV per cell. The value obtained for the total DFT energy (no corrections) is -3.292 eV per atom.

An optimized crystal structure of SiAuC2I. Source: Alexandria, functional PBE.

Cell: 4.0055 8.7403 4.0055 Å, 90.00 90.00 90.00°
With the nearest neighbours (Å) after each atom.
Fractional coordinates of all 5 atoms:
I1 0.0000 0.5000 0.0000  4 Si 2.83
Si1 0.5000 0.5000 0.5000  4 I 2.83
Au1 0.0000 0.0000 0.0000  4 C 2.00
C1 0.0000 0.0000 0.5000  2 Au 2.00
C2 0.5000 0.0000 0.0000  2 Au 2.00

Its total magnetization is 2.0 μB per formula unit. As for the energy relative to the elements, uncorrected: 2.25 eV per atom. The value obtained for the density of states at the Fermi level is 2.22 states/eV per cell. The value obtained for the total DFT energy (no corrections) is -3.492 eV per atom.

An optimized crystal structure of Ta2AuCI. Source: Alexandria, functional PBE.

Cell: 5.0530 5.4238 5.0530 Å, 90.00 90.00 90.00°
With the nearest neighbours (Å) after each atom.
Fractional coordinates of all 5 atoms:
I1 0.0000 0.5000 0.0000  2 Au 2.71
C1 0.5000 0.5000 0.5000  4 I 3.57, 8 Ta 3.71
Au1 0.0000 0.0000 0.0000  4 Ta 2.53, 2 I 2.71
Ta1 0.0000 0.0000 0.5000  2 Au 2.53
Ta2 0.5000 0.0000 0.0000  2 Au 2.53

Its total magnetization is 1.8 μB per formula unit. As for the energy relative to the elements, uncorrected: 3.09 eV per atom. The value obtained for the density of states at the Fermi level is 6.71 states/eV per cell. The value obtained for the total DFT energy (no corrections) is -4.459 eV per atom.

An optimized crystal structure of Zn2AuCI. Source: Alexandria, functional PBE.

Cell: 5.5206 4.1266 5.5206 Å, 90.00 90.00 90.00°
With the nearest neighbours (Å) after each atom.
Fractional coordinates of all 5 atoms:
I1 0.0000 0.0000 0.0000  2 C 2.06
Zn1 0.0000 0.0000 0.5000  2 I 2.76
Zn2 0.5000 0.0000 0.0000  2 I 2.76
Au1 0.5000 0.5000 0.5000  8 Zn 3.45
C1 0.0000 0.5000 0.0000  2 I 2.06

Its total magnetization is 0.0 μB per formula unit. As for the energy relative to the elements, uncorrected: 1.74 eV per atom. The value obtained for the density of states at the Fermi level is 3.16 states/eV per cell. The value obtained for the total DFT energy (no corrections) is -1.579 eV per atom.

An optimized crystal structure of InAuC. Source: Alexandria, functional PBE.

Cell: 7.1120 4.1148 4.2781 Å, 90.37 105.75 102.06°
With the nearest neighbours (Å) after each atom.
Fractional coordinates of all 6 atoms:
C1 0.6763 0.8262 0.3058  1 C 1.27
C2 0.8655 0.8768 0.3621  1 C 1.27
Au1 0.3868 0.6016 0.0582  1 C 2.06
Au2 0.1550 0.1013 0.6094  1 C 2.05
In1 0.9769 0.4932 0.0153  1 C 2.54, 1 Au 2.81
In2 0.5653 0.2108 0.6526  1 C 2.54, 1 Au 2.81

Its total magnetization is 0.0 μB per formula unit. The value obtained for the density of states at the Fermi level is 1.09 states/eV per cell. The value obtained for the total DFT energy (no corrections) is -4.535 eV per atom. As for the formation energy from the elements: 545 meV/atom.

An optimized crystal structure of InAuC. Source: Alexandria, functional PBE.

Cell: 4.6900 6.3610 4.6903 Å, 80.63 112.40 99.38°
With the nearest neighbours (Å) after each atom.
Fractional coordinates of all 6 atoms:
C1 0.9657 0.9351 0.2139  1 C 1.25
C2 0.2057 0.9351 0.4539  1 C 1.25
Au1 0.5863 0.4350 0.8339  6 In 2.92-3.04, 2 Au 3.18
Au2 0.5858 0.9351 0.8339  2 C 1.98
In1 0.2622 0.6000 0.1581  2 C 2.82, 4 Au 2.92-3.04, 1 In 3.11
In2 0.9102 0.2698 0.5098  2 C 2.82, 4 Au 2.92-3.04, 1 In 3.11

Its total magnetization is 0.0 μB per formula unit. The value obtained for the density of states at the Fermi level is 1.24 states/eV per cell. The value obtained for the total DFT energy (no corrections) is -4.624 eV per atom. As for the formation energy from the elements: 456 meV/atom.

An optimized crystal structure of InAuC3. Source: Alexandria, functional PBE.

Cell: 4.2309 4.2309 4.2309 Å, 90.00 90.00 90.00°
With the nearest neighbours (Å) after each atom.
Fractional coordinates of all 5 atoms:
C1 0.0000 0.5000 0.0000  2 Au 2.12
C2 0.0000 0.0000 0.5000  2 Au 2.12
C3 0.5000 0.0000 0.0000  2 Au 2.12
Au1 0.0000 0.0000 0.0000  6 C 2.12
In1 0.5000 0.5000 0.5000  12 C 2.99

Its total magnetization is 1.9 μB per formula unit. The value obtained for the density of states at the Fermi level is 4.27 states/eV per cell. The value obtained for the total DFT energy (no corrections) is -3.851 eV per atom. As for the formation energy from the elements: 2886 meV/atom. The value obtained for the energy relative to the lowest polymorph listed for this composition is 0.0 meV per atom.